Record 1
# MnHCl2

A geometry-optimized MnHCl2 structure (GGA-PBE, the Alexandria database).

The total energy comes out at -46.15 eV for the cell shown.

Cell lengths 3.5682, 3.5682, 16.4350 Å; angles 90.00, 90.00, 120.00 degrees
Space group R-3m (No. 166, hexagonal axes)
Unique sites:
Mn1 0.0000 0.0000 0.0000 (multiplicity 3)
H1 0.0000 0.0000 0.5000 (multiplicity 3)
Cl1 0.0000 0.0000 0.4022 (multiplicity 6)



Record 2
# LaAlPt2

A geometry-optimized LaAlPt2 structure (GGA-PBE, the Alexandria database).

For the formation energy, the calculation gives -1.134 eV/atom.

Cell lengths 7.532, 7.061, 6.035 Å; angles 90.00, 90.00, 90.00 degrees
Space group Pnma (No. 62)
Unique sites:
La1 0.027 0.250 0.153 (multiplicity 4)
Al1 0.120 0.750 0.349 (multiplicity 4)
Pt1 0.178 0.052 0.585 (multiplicity 8)